[1]
The following is a PBE calculation of a relaxed MgOsRh2 crystal, from Alexandria.

Unit cell a=4.7089 b=4.7089 c=2.7513 alpha=90.00 beta=90.00 gamma=107.49
Fractional coordinates of all 4 atoms:
Mg 0.0000 0.0000 0.0000
Os 0.5000 0.5000 0.0000
Rh 0.0000 0.5000 0.5000
Rh 0.5000 0.0000 0.5000

ΔE_f: -0.118 eV per atom

=====

[2]
The following is a PBE calculation of a relaxed Sr3Al2 crystal, from Alexandria.

Unit cell a=13.9574 b=13.9574 c=13.9574 alpha=16.46 beta=16.46 gamma=16.46
Fractional coordinates of all 5 atoms:
Sr 0.0000 0.0000 0.0000
Sr 0.2118 0.2118 0.2118
Sr 0.7882 0.7882 0.7882
Al 0.3950 0.3950 0.3950
Al 0.6050 0.6050 0.6050

ΔE_f: 0.122 eV per atom
offset from the most stable computed form: 254 meV per atom